(1)
Density functional theory data (PBE) for crystalline GeBS3 at its relaxed geometry.

```
GeBS3
1.0
4.698 0.000 0.000
0.000 4.698 0.000
0.000 0.000 4.698
Ge B S
1 1 3
Direct
0.000 0.000 0.000
0.500 0.500 0.500
0.000 0.000 0.500
0.000 0.500 0.000
0.500 0.000 0.000
```

- DFT total energy (eV per atom) = -3.4458
- D(E_F) (states/eV per atom) = 0.592
- excess energy over the best structure of this formula in the dataset (meV/atom) = 1485
- ρ (g/cm³) = 2.9
- M_tot (μB per cell) = 0.000


(2)
Density functional theory data (PBE) for crystalline EuSi2Ru at its relaxed geometry.

```
EuSi2Ru
1.0
2.040 1.178 5.261
-2.040 1.178 5.261
0.000 -2.356 5.261
Eu Si Ru
1 2 1
Direct
0.000 0.000 0.000
0.208 0.208 0.208
0.792 0.792 0.792
0.500 0.500 0.500
```

- DFT total energy (eV per atom) = -8.1949
- D(E_F) (states/eV per atom) = 1.615
- ρ (g/cm³) = 6.8
- M_tot (μB per cell) = 6.956


Number 1 is which compound?
GeBS3


Please write out number 2 again, unchanged.
Density functional theory data (PBE) for crystalline EuSi2Ru at its relaxed geometry.

```
EuSi2Ru
1.0
2.040 1.178 5.261
-2.040 1.178 5.261
0.000 -2.356 5.261
Eu Si Ru
1 2 1
Direct
0.000 0.000 0.000
0.208 0.208 0.208
0.792 0.792 0.792
0.500 0.500 0.500
```

- DFT total energy (eV per atom) = -8.1949
- D(E_F) (states/eV per atom) = 1.615
- ρ (g/cm³) = 6.8
- M_tot (μB per cell) = 6.956


Look up the D(E_F) of the second one.
1.615 states/eV per atom


Please write out number 2 again, unchanged.
Density functional theory data (PBE) for crystalline EuSi2Ru at its relaxed geometry.

```
EuSi2Ru
1.0
2.040 1.178 5.261
-2.040 1.178 5.261
0.000 -2.356 5.261
Eu Si Ru
1 2 1
Direct
0.000 0.000 0.000
0.208 0.208 0.208
0.792 0.792 0.792
0.500 0.500 0.500
```

- DFT total energy (eV per atom) = -8.1949
- D(E_F) (states/eV per atom) = 1.615
- ρ (g/cm³) = 6.8
- M_tot (μB per cell) = 6.956